! Sr3Ag6Sn5 (PBE-GGA, relaxed); values from VASP
&SYSTEM
  ibrav = 0, nat = 28, ntyp = 3
/
ATOMIC_SPECIES
Sr 87.62 Sr.upf
Ag 107.87 Ag.upf
Sn 118.71 Sn.upf
CELL_PARAMETERS angstrom
4.7777 0.0000 0.0000
0.0000 14.1733 0.0000
0.0000 0.0000 10.4521
ATOMIC_POSITIONS angstrom
Sr 1.1944 0.8985 2.5356
Sr 1.1944 6.1882 2.5356
Sr 1.1944 10.6300 2.5216
Sr 3.5833 3.5433 7.9305
Sr 3.5833 7.9852 7.9165
Sr 3.5833 13.2748 7.9165
Ag 1.1944 1.0181 6.2856
Ag 1.1944 3.5433 0.3180
Ag 1.1944 3.5433 4.9821
Ag 1.1944 6.0686 6.2856
Ag 1.1944 8.5170 10.3243
Ag 1.1944 12.7430 10.3243
Ag 3.5833 1.4303 0.1278
Ag 3.5833 5.6563 0.1278
Ag 3.5833 8.1048 4.1665
Ag 3.5833 10.6300 5.4700
Ag 3.5833 10.6300 10.1341
Ag 3.5833 13.1552 4.1665
Sn 1.1944 1.2010 9.1120
Sn 1.1944 5.8857 9.1120
Sn 1.1944 8.9237 5.5957
Sn 1.1944 10.6300 8.3120
Sn 1.1944 12.3363 5.5957
Sn 3.5833 1.8370 4.8564
Sn 3.5833 3.5433 2.1402
Sn 3.5833 5.2496 4.8564
Sn 3.5833 8.2877 1.3402
Sn 3.5833 12.9724 1.3402
! - E_form: -367 meV/atom
! - Spin magnetization: 0.0 μB per formula unit